[1]
K4RbNp3O12 | PBE | relaxed

Results
ΔE_f (raw) = -49.3 eV/f.u.
Spin magnetization = 2.000 μB per cell
E = -7.648 eV/atom
N(E_F) = 0.598 states/eV/atom

Lattice parameters (Å, degrees): 7.665 7.665 7.665 109.47 109.47 109.47
Element x y z (fractional)
K  0.000  0.000  0.500
K  0.000  0.500  0.000
K  0.500  0.000  0.000
K  0.500  0.500  0.500
Rb  0.000  0.000  0.000
Np  0.000  0.500  0.500
Np  0.500  0.000  0.500
Np  0.500  0.500  0.000
O  0.000  0.290  0.290
O  0.000  0.710  0.710
O  0.250  0.500  0.750
O  0.250  0.750  0.500
O  0.290  0.000  0.290
O  0.290  0.290  0.000
O  0.500  0.250  0.750
O  0.500  0.750  0.250
O  0.710  0.000  0.710
O  0.710  0.710  0.000
O  0.750  0.250  0.500
O  0.750  0.500  0.250

***

[2]
KBaTa2Tc | PBE | relaxed

Results
ΔE_f = 2.865 eV per atom
Spin magnetization = 0.877 μB per cell
E = -4.553 eV/atom
N(E_F) = 1.456 states/eV/atom

Lattice parameters (Å, degrees): 5.105 5.105 4.951 90.00 90.00 90.00
Element x y z (fractional)
K  0.000  0.000  0.000
Ba  0.500  0.500  0.500
Ta  0.000  0.500  0.000
Ta  0.500  0.000  0.000
Tc  0.000  0.000  0.500

***

[3]
CsTlI4 | PBE | relaxed

Results
ΔE_f (raw) = -4.4 eV/f.u.
Spin magnetization = 0.000 μB per cell
E = -2.302 eV/atom

Lattice parameters (Å, degrees): 7.925 19.562 8.780 90.00 107.54 90.00
Element x y z (fractional)
Cs  0.191  0.121  0.291
Cs  0.191  0.379  0.791
Cs  0.809  0.621  0.209
Cs  0.809  0.879  0.709
Tl  0.213  0.630  0.796
Tl  0.213  0.870  0.296
Tl  0.787  0.130  0.704
Tl  0.787  0.370  0.204
I  0.148  0.172  0.806
I  0.148  0.328  0.306
I  0.273  0.549  0.078
I  0.273  0.951  0.578
I  0.278  0.550  0.551
I  0.278  0.950  0.051
I  0.437  0.744  0.891
I  0.437  0.756  0.391
I  0.563  0.244  0.609
I  0.563  0.256  0.109
I  0.722  0.050  0.949
I  0.722  0.450  0.449
I  0.727  0.049  0.422
I  0.727  0.451  0.922
I  0.852  0.672  0.694
I  0.852  0.828  0.194

***

[4]
CuPRu2 | PBE | relaxed

Results
ΔE_f = 0.245 eV per atom
Spin magnetization = 0.000 μB per cell
E = -6.769 eV/atom
N(E_F) = 0.939 states/eV/atom

Lattice parameters (Å, degrees): 4.848 4.848 2.786 105.40 105.40 111.29
Element x y z (fractional)
Cu  0.000  0.000  0.000
P  0.500  0.500  0.000
Ru  0.000  0.500  0.500
Ru  0.500  0.000  0.500